! GGA-PBE LaH6Rh2Pb, relaxed; values from VASP
&SYSTEM
  ibrav = 0, nat = 20, ntyp = 4
/
ATOMIC_SPECIES
Rh 102.91 Rh.upf
H 1.01 H.upf
Pb 207.20 Pb.upf
La 138.91 La.upf
ATOMIC_POSITIONS crystal
Rh 0.866 0.702 0.750
H 0.444 0.081 0.541
Rh 0.702 0.866 0.250
H 0.123 0.121 0.499
Rh 0.134 0.298 0.250
Pb 0.588 0.412 0.250
H 0.121 0.123 0.999
Rh 0.298 0.134 0.750
H 0.879 0.877 0.001
H 0.085 0.445 0.461
H 0.081 0.444 0.041
La 0.816 0.184 0.750
H 0.445 0.085 0.961
H 0.555 0.915 0.039
Pb 0.412 0.588 0.750
H 0.915 0.555 0.539
H 0.877 0.879 0.501
La 0.184 0.816 0.250
H 0.556 0.919 0.459
H 0.919 0.556 0.959
CELL_PARAMETERS angstrom
6.950 -1.192 0.715
-2.034 6.751 0.715
-0.618 -0.699 4.938
! Electronic total energy: -4.645 eV/atom
! Total moment: 0.000 Bohr magnetons per cell